# Cd3SI

Crystalline Cd3SI at its relaxed geometry (PBE, Alexandria).

Calculated values
Total energy, eV/atom: -1.689
Volume, Å³/atom: 31.56
Excess energy over the best structure of this formula in the dataset, meV/atom: 0
Raw formation energy, eV per atom: 0.00

a b c (Å): 5.404 5.404 5.404
angles (deg): 90.00 90.00 90.00
Space group Pm-3m (No. 221)
Unique sites:
Cd (0.000, 0.000, 0.500) (multiplicity 3)
S (0.000, 0.000, 0.000) (multiplicity 1)
I (0.500, 0.500, 0.500) (multiplicity 1)